Record 1
DFT (PBE-GGA) results for a relaxed structure of MgB4Mo.

Unit cell a=3.029 b=4.523 c=4.523 alpha=71.50 beta=70.50 gamma=70.50
Positions (direct):
Mg 0.500 0.500 0.500
B 0.753 0.585 0.909
B 0.753 0.909 0.585
B 0.247 0.415 0.091
B 0.247 0.091 0.415
Mo 0.000 0.000 0.000

## Properties
The energy of formation from the pure elements is -0.32 eV per atom. As for the total energy: -6.85 eV per atom.

Record 2
DFT (PBE-GGA) results for a relaxed structure of MgB3Mo.

Unit cell a=4.150 b=4.150 c=4.150 alpha=90.00 beta=90.00 gamma=90.00
Positions (direct):
Mo 0.000 0.000 0.000
B 0.000 0.500 0.000
B 0.000 0.000 0.500
B 0.500 0.000 0.000
Mg 0.500 0.500 0.500

## Properties
The energy of formation from the pure elements is 0.96 eV per atom. The calculation puts the distance to the lowest polymorph of the same formula at 0.0 kJ/mol of formula units. As for the total energy: -5.53 eV per atom.

Question: Among the records above, which one has the highest total energy?
Answer: MgB3Mo

Question: What is the total energy in the first record?
Answer: -6.85 eV per atom

Question: Which value of total energy does entry 2 give?
Answer: -5.53 eV per atom